Record 1
A plane-wave DFT calculation with GGA-PBE was carried out for a relaxed Cs2ZrTeF6 crystal.

Unit cell a=7.8324 b=7.8324 c=7.0494 alpha=56.25 beta=56.25 gamma=90.00
Fractional coordinates of all 10 atoms:
Cs (0.2500, 0.7500, 0.5000)
Cs (0.7500, 0.2500, 0.5000)
F (0.3174, 0.3174, 0.0000)
F (0.2628, 0.2628, 0.4745)
F (0.3174, 0.6826, 0.0000)
F (0.6826, 0.6826, 0.0000)
F (0.7372, 0.7372, 0.5255)
F (0.6826, 0.3174, 0.0000)
Zr (0.5000, 0.5000, 0.0000)
Te (0.0000, 0.0000, 0.0000)

Output
ΔE_f (raw) ... -27.8 eV/f.u.

---

Record 2
A plane-wave DFT calculation with GGA-PBE was carried out for a relaxed NbAsAuSe2 crystal.

Unit cell a=4.9692 b=4.9692 c=5.1169 alpha=90.00 beta=90.00 gamma=90.00
Fractional coordinates of all 5 atoms:
Nb (0.0000, 0.0000, 0.0000)
Se (0.0000, 0.5000, 0.0000)
Se (0.5000, 0.0000, 0.0000)
Au (0.5000, 0.5000, 0.5000)
As (0.0000, 0.0000, 0.5000)

Output
ΔE_f (raw) ... 1.4 eV/f.u.

---

Record 3
A plane-wave DFT calculation with GGA-PBE was carried out for a relaxed BaFe3Au crystal.

Unit cell a=4.8328 b=4.8328 c=4.8328 alpha=90.00 beta=90.00 gamma=90.00
Fractional coordinates of all 5 atoms:
Fe (0.5000, 0.0000, 0.0000)
Fe (0.0000, 0.0000, 0.5000)
Fe (0.0000, 0.5000, 0.0000)
Au (0.5000, 0.5000, 0.5000)
Ba (0.0000, 0.0000, 0.0000)

Output
Energy of formation ... 2.25 eV per atom

---

Record 4
A plane-wave DFT calculation with GGA-PBE was carried out for a relaxed HIr2Cl2 crystal.

Unit cell a=4.1853 b=4.1853 c=6.0016 alpha=69.59 beta=69.59 gamma=90.00
Fractional coordinates of all 5 atoms:
Cl (0.7500, 0.2500, 0.5000)
Cl (0.2500, 0.7500, 0.5000)
Ir (0.3904, 0.3904, 0.2193)
Ir (0.6096, 0.6096, 0.7807)
H (0.0000, 0.0000, 0.0000)

---

Record 5
A plane-wave DFT calculation with GGA-PBE was carried out for a relaxed CeSc6Ru5 crystal.

Unit cell a=4.5866 b=6.6855 c=7.4144 alpha=90.00 beta=108.20 gamma=90.00
Fractional coordinates of all 12 atoms:
Ru (0.0000, 0.5000, 0.0000)
Ru (0.3486, 0.0000, 0.6940)
Ru (0.3337, 0.5000, 0.6664)
Ru (0.6514, 0.0000, 0.3060)
Ru (0.6663, 0.5000, 0.3336)
Sc (0.1763, 0.2624, 0.3538)
Sc (0.5000, 0.7186, 0.0000)
Sc (0.8237, 0.2624, 0.6462)
Sc (0.5000, 0.2814, 0.0000)
Sc (0.1763, 0.7376, 0.3538)
Sc (0.8237, 0.7376, 0.6462)
Ce (0.0000, 0.0000, 0.0000)

Output
Energy of formation ... -0.41 eV per atom

---

Record 6
A plane-wave DFT calculation with GGA-PBE was carried out for a relaxed LaHoPb2 crystal.

Unit cell a=4.5658 b=5.1215 c=5.1215 alpha=90.00 beta=90.00 gamma=90.00
Fractional coordinates of all 4 atoms:
Pb (0.0000, 0.5000, 0.0000)
Pb (0.0000, 0.0000, 0.5000)
Ho (0.5000, 0.5000, 0.5000)
La (0.5000, 0.0000, 0.0000)

Output
Energy of formation ... -0.49 eV per atom

---

Record 7
A plane-wave DFT calculation with GGA-PBE was carried out for a relaxed NbZnGeO6 crystal.

Unit cell a=4.7075 b=4.7075 c=9.1283 alpha=90.00 beta=90.00 gamma=90.00
Fractional coordinates of all 18 atoms:
O (0.3047, 0.3047, 0.6810)
O (0.8047, 0.1953, 0.1810)
O (0.7132, 0.7132, 0.3217)
O (0.3151, 0.3151, 0.9936)
O (0.6953, 0.6953, 0.6810)
O (0.7868, 0.2132, 0.8217)
O (0.2868, 0.2868, 0.3217)
O (0.2132, 0.7868, 0.8217)
O (0.6849, 0.6849, 0.9936)
O (0.1953, 0.8047, 0.1810)
O (0.8151, 0.1849, 0.4936)
O (0.1849, 0.8151, 0.4936)
Nb (0.0000, 0.0000, 0.6716)
Nb (0.5000, 0.5000, 0.1716)
Ge (0.5000, 0.5000, 0.8335)
Ge (0.0000, 0.0000, 0.3335)
Zn (0.5000, 0.5000, 0.5021)
Zn (0.0000, 0.0000, 0.0021)

Output
ΔE_f (raw) ... -15.3 eV/f.u.

---

Record 8
A plane-wave DFT calculation with GGA-PBE was carried out for a relaxed OsSe crystal.

Unit cell a=7.9918 b=11.8876 c=7.4696 alpha=90.00 beta=90.00 gamma=90.00
Fractional coordinates of all 32 atoms:
Os (0.5000, 0.1096, 0.0000)
Os (0.0000, 0.1096, 0.5000)
Os (0.5000, 0.8904, 0.0000)
Os (0.5000, 0.6096, 0.5000)
Os (0.7500, 0.6404, 0.2500)
Os (0.7500, 0.8596, 0.2500)
Os (0.0000, 0.6096, 0.0000)
Os (0.7500, 0.1404, 0.7500)
Os (0.2500, 0.3596, 0.2500)
Os (0.2500, 0.6404, 0.7500)
Os (0.2500, 0.8596, 0.7500)
Os (0.2500, 0.1404, 0.2500)
Os (0.7500, 0.3596, 0.7500)
Os (0.0000, 0.8904, 0.5000)
Os (0.0000, 0.3904, 0.0000)
Os (0.5000, 0.3904, 0.5000)
Se (0.2419, 0.0000, 0.0000)
Se (0.2581, 0.5000, 0.0000)
Se (0.7419, 0.5000, 0.0000)
Se (0.7581, 0.0000, 0.0000)
Se (0.2581, 0.0000, 0.5000)
Se (0.9919, 0.7500, 0.7500)
Se (0.5081, 0.7500, 0.7500)
Se (0.2419, 0.5000, 0.5000)
Se (0.9919, 0.2500, 0.2500)
Se (0.4919, 0.2500, 0.7500)
Se (0.4919, 0.7500, 0.2500)
Se (0.7581, 0.5000, 0.5000)
Se (0.0081, 0.2500, 0.7500)
Se (0.0081, 0.7500, 0.2500)
Se (0.7419, 0.0000, 0.5000)
Se (0.5081, 0.2500, 0.2500)

Output
ΔE_f (raw) ... 1.0 eV/f.u.

---

Record 9
A plane-wave DFT calculation with GGA-PBE was carried out for a relaxed CuB3Pd crystal.

Unit cell a=4.0697 b=4.0697 c=4.0697 alpha=90.00 beta=90.00 gamma=90.00
Fractional coordinates of all 5 atoms:
B (0.0000, 0.5000, 0.0000)
B (0.0000, 0.0000, 0.5000)
B (0.5000, 0.0000, 0.0000)
Pd (0.0000, 0.0000, 0.0000)
Cu (0.5000, 0.5000, 0.5000)

Output
Energy of formation ... 1.53 eV per atom

---

Record 10
A plane-wave DFT calculation with GGA-PBE was carried out for a relaxed CuHg3B crystal.

Unit cell a=4.6440 b=4.6440 c=4.6440 alpha=90.00 beta=90.00 gamma=90.00
Fractional coordinates of all 5 atoms:
Hg (0.0000, 0.5000, 0.0000)
Hg (0.5000, 0.0000, 0.0000)
Hg (0.0000, 0.0000, 0.5000)
B (0.0000, 0.0000, 0.0000)
Cu (0.5000, 0.5000, 0.5000)

Output
Energy of formation ... 0.74 eV per atom

---

Record 11
A plane-wave DFT calculation with GGA-PBE was carried out for a relaxed Nd4Y2TmMg crystal.

Unit cell a=5.0774 b=5.0801 c=11.2415 alpha=63.11 beta=90.00 gamma=90.00
Fractional coordinates of all 8 atoms:
Nd (0.0000, 0.2528, 0.2470)
Nd (0.5000, 0.7524, 0.2470)
Nd (0.0000, 0.7472, 0.7530)
Nd (0.5000, 0.2476, 0.7530)
Y (0.0000, 0.0000, 0.0000)
Y (0.5000, 0.0000, 0.5000)
Mg (0.5000, 0.5000, 0.0000)
Tm (0.0000, 0.5000, 0.5000)

Output
Energy of formation ... 0.01 eV per atom

---

Record 12
A plane-wave DFT calculation with GGA-PBE was carried out for a relaxed LiBeBr3 crystal.

Unit cell a=3.7009 b=7.1821 c=10.6376 alpha=95.36 beta=90.00 gamma=90.00
Fractional coordinates of all 10 atoms:
Be (0.7500, 0.1954, 0.7729)
Be (0.2500, 0.8046, 0.2271)
Br (0.7500, 0.9123, 0.6830)
Br (0.7500, 0.7540, 0.1074)
Br (0.2500, 0.6010, 0.3714)
Br (0.2500, 0.2460, 0.8926)
Br (0.2500, 0.0877, 0.3170)
Br (0.7500, 0.3990, 0.6286)
Li (0.7500, 0.3273, 0.3733)
Li (0.2500, 0.6727, 0.6267)

Output
ΔE_f (raw) ... -5.9 eV/f.u.

---

no.,E (eV per atom),total moment (μB/atom)
1,-5.246,0.00
2,-4.709,0.00
3,-3.867,1.42
4,-3.592,0.01
5,-7.936,0.00
6,-4.717,0.00
7,-6.780,0.08
8,-6.879,0.00
9,-4.339,0.00
10,-1.591,0.00
11,-4.750,0.00
12,-3.307,0.00